Record 1
VASP calculation (GGA-PBEsol) on crystalline CrFe3Cl at its relaxed geometry.

Cell lengths 4.2622, 4.2622, 4.2622 Å; angles 90.00, 90.00, 90.00 degrees
Last column: nearest neighbours and their distance in Å.
Sites, in units of the cell vectors:
Fe 0.0000 0.0000 0.5000  2 Cr 2.13
Fe 0.5000 0.0000 0.0000  2 Cr 2.13
Fe 0.0000 0.5000 0.0000  2 Cr 2.13
Cl 0.5000 0.5000 0.5000  12 Fe 3.01
Cr 0.0000 0.0000 0.0000  6 Fe 2.13

Summary:
Formation energy (no corrections): 6.9 eV per formula unit
Total DFT energy (no corrections): -6.4529 eV/atom
Space group: No. 221


Record 2
VASP calculation (GGA-PBEsol) on crystalline Hg3P at its relaxed geometry.

Cell lengths 4.6701, 4.9750, 4.9750 Å; angles 69.32, 71.77, 108.23 degrees
Last column: nearest neighbours and their distance in Å.
Sites, in units of the cell vectors:
P 0.5000 0.0000 0.0000  6 Hg 2.83
Hg 0.0000 0.0000 0.5000  4 Hg 2.83, 2 P 2.83
Hg 0.5000 0.5000 0.5000  2 P 2.83, 4 Hg 2.83
Hg 0.0000 0.5000 0.0000  4 Hg 2.83, 2 P 2.83

Summary:
Offset from the most stable computed form: 0.73 eV/f.u.
Formation energy from the elements: 244 meV per atom
Total DFT energy (no corrections): -1.6293 eV/atom
Space group: No. 166


Record 3
VASP calculation (GGA-PBEsol) on crystalline Al3SeS at its relaxed geometry.

Cell lengths 4.7605, 4.7605, 4.7605 Å; angles 90.00, 90.00, 90.00 degrees
Last column: nearest neighbours and their distance in Å.
Sites, in units of the cell vectors:
S 0.0000 0.0000 0.0000  6 Al 2.38
Al 0.0000 0.0000 0.5000  2 S 2.38
Al 0.5000 0.0000 0.0000  2 S 2.38
Al 0.0000 0.5000 0.0000  2 S 2.38
Se 0.5000 0.5000 0.5000  12 Al 3.37

Summary:
Formation energy (no corrections): 1.6 eV per formula unit
Total DFT energy (no corrections): -3.7771 eV/atom
Space group: No. 221


Record 4
VASP calculation (GGA-PBEsol) on crystalline LiNbTe2I at its relaxed geometry.

Cell lengths 5.3643, 5.3643, 5.7746 Å; angles 90.00, 90.00, 90.00 degrees
Last column: nearest neighbours and their distance in Å.
Sites, in units of the cell vectors:
Te 0.0000 0.5000 0.0000  2 Nb 2.68
Te 0.5000 0.0000 0.0000  2 Nb 2.68
I 0.0000 0.0000 0.5000  2 Nb 2.89
Li 0.5000 0.5000 0.5000  4 I 3.79, 8 Te 3.94
Nb 0.0000 0.0000 0.0000  4 Te 2.68, 2 I 2.89

Summary:
Formation energy (no corrections): -0.6 eV per formula unit
Total DFT energy (no corrections): -4.4396 eV/atom
Space group: No. 123


Record 5
VASP calculation (GGA-PBEsol) on crystalline ScNb3Sn at its relaxed geometry.

Cell lengths 5.0108, 5.0108, 5.0108 Å; angles 90.00, 90.00, 90.00 degrees
Last column: nearest neighbours and their distance in Å.
Sites, in units of the cell vectors:
Nb 0.0000 0.5000 0.0000  2 Sn 2.51
Nb 0.0000 0.0000 0.5000  2 Sn 2.51
Nb 0.5000 0.0000 0.0000  2 Sn 2.51
Sn 0.0000 0.0000 0.0000  6 Nb 2.51
Sc 0.5000 0.5000 0.5000  12 Nb 3.54

Summary:
Formation energy from the elements: 1415 meV per atom
Total DFT energy (no corrections): -7.2510 eV/atom
Space group: No. 221


Record 6
VASP calculation (GGA-PBEsol) on crystalline Re2NiRh at its relaxed geometry.

Cell lengths 3.1112, 3.1112, 5.5425 Å; angles 90.00, 90.00, 90.00 degrees
Last column: nearest neighbours and their distance in Å.
Sites, in units of the cell vectors:
Re 0.0000 0.0000 0.9819  4 Ni 2.54, 1 Rh 2.55, 4 Re 2.63
Re 0.5000 0.5000 0.2424  4 Re 2.63, 4 Rh 2.69, 2 Ni 2.71-2.83
Ni 0.5000 0.5000 0.7534  6 Re 2.54-2.83, 4 Rh 2.55
Rh 0.0000 0.0000 0.5223  4 Ni 2.55, 5 Re 2.55-2.69

Summary:
Offset from the most stable computed form: 0.86 eV/f.u.
Formation energy from the elements: 114 meV per atom
Total DFT energy (no corrections): -10.1257 eV/atom
Space group: No. 99


Record 7
VASP calculation (GGA-PBEsol) on crystalline MgCoAs2O7 at its relaxed geometry.

Cell lengths 7.1896, 8.5240, 9.2381 Å; angles 90.00, 109.42, 90.00 degrees
Last column: nearest neighbours and their distance in Å.
Sites, in units of the cell vectors:
O 0.3024 0.2357 0.4420  1 As 1.72
O 0.1529 0.0988 0.1143  1 As 1.72
O 0.5762 0.0999 0.0998  1 As 1.70
O 0.8349 0.6691 0.0955  2 As 1.76-1.77
O 0.6651 0.1691 0.4045  2 As 1.76-1.77
O 0.6382 0.0709 0.6615  1 As 1.71
O 0.6976 0.7643 0.5580  1 As 1.72
O 0.8024 0.2643 0.9420  1 As 1.72
O 0.5793 0.4215 0.1848  1 As 1.68
O 0.1382 0.4291 0.1615  1 As 1.71
O 0.4309 0.2505 0.7727  1 As 1.71
O 0.3618 0.9291 0.3385  1 As 1.71
O 0.1651 0.3309 0.9045  2 As 1.76-1.77
O 0.0762 0.4001 0.5998  1 As 1.70
O 0.3349 0.8309 0.5955  2 As 1.76-1.77
O 0.8618 0.5709 0.8385  1 As 1.71
O 0.3471 0.5988 0.3857  1 As 1.72
O 0.4207 0.5785 0.8152  1 As 1.68
O 0.9309 0.2495 0.2727  1 As 1.71
O 0.5691 0.7495 0.2273  1 As 1.71
O 0.0691 0.7505 0.7273  1 As 1.71
O 0.8471 0.9012 0.8857  1 As 1.72
O 0.1976 0.7357 0.0580  1 As 1.72
O 0.4238 0.9001 0.9002  1 As 1.70
O 0.6529 0.4012 0.6143  1 As 1.72
O 0.9207 0.9215 0.3152  1 As 1.68
O 0.9238 0.5999 0.4002  1 As 1.70
O 0.0793 0.0785 0.6848  1 As 1.68
As 0.5515 0.2242 0.5391  4 O 1.71-1.76
As 0.1806 0.2576 0.7299  4 O 1.68-1.77
As 0.6806 0.2424 0.2299  4 O 1.68-1.77
As 0.8194 0.7424 0.2701  4 O 1.68-1.77
As 0.9485 0.7242 0.9609  4 O 1.71-1.76
As 0.0515 0.2758 0.0391  4 O 1.71-1.76
As 0.3194 0.7576 0.7701  4 O 1.68-1.77
As 0.4485 0.7758 0.4609  4 O 1.71-1.76
Co 0.8687 0.9375 0.6791  5 O 1.92-2.09
Co 0.6313 0.4375 0.8209  5 O 1.92-2.09
Co 0.3687 0.5625 0.1791  5 O 1.92-2.09
Co 0.1313 0.0625 0.3209  5 O 1.92-2.09
Mg 0.1185 0.4317 0.3853  6 O 2.04-2.17
Mg 0.8815 0.5683 0.6147  6 O 2.04-2.17
Mg 0.6185 0.0683 0.8853  6 O 2.04-2.17
Mg 0.3815 0.9317 0.1147  6 O 2.04-2.17

Summary:
Formation energy (no corrections): -15.3 eV per formula unit
Total DFT energy (no corrections): -6.5226 eV/atom
Space group: No. 14


Record 8
VASP calculation (GGA-PBEsol) on crystalline Mg3TiB2O8 at its relaxed geometry.

Cell lengths 3.0969, 9.3188, 9.3733 Å; angles 90.00, 90.00, 90.00 degrees
Last column: nearest neighbours and their distance in Å.
Sites, in units of the cell vectors:
O 0.0000 0.7453 0.7451  1 B 1.43
O 0.5000 0.9762 0.8553  1 Ti 1.81
O 0.5000 0.4720 0.6095  1 B 1.36
O 0.0000 0.2453 0.2549  1 B 1.43
O 0.0000 0.2534 0.9968  1 B 1.37
O 0.0000 0.0285 0.1183  1 B 1.35
O 0.5000 0.4762 0.1447  1 Ti 1.81
O 0.0000 0.5285 0.8817  1 B 1.35
O 0.0000 0.7534 0.0032  1 B 1.37
O 0.5000 0.2474 0.4920  1 B 1.41
O 0.5000 0.7474 0.5080  1 B 1.41
O 0.5000 0.7580 0.2492  1 B 1.38
O 0.5000 0.9720 0.3905  1 B 1.36
O 0.0000 0.5001 0.3710  2 Ti 1.90, 1 Mg 2.10
O 0.0000 0.0001 0.6290  2 Ti 1.90, 1 Mg 2.10
O 0.5000 0.2580 0.7508  1 B 1.38
Ti 0.5000 0.8937 0.6810  3 O 1.81-1.90
Ti 0.5000 0.3937 0.3190  3 O 1.81-1.90
B 0.5000 0.3267 0.6206  3 O 1.36-1.41
B 0.0000 0.6734 0.8799  3 O 1.35-1.43
B 0.0000 0.1734 0.1201  3 O 1.35-1.43
B 0.5000 0.8267 0.3794  3 O 1.36-1.41
Mg 0.0000 0.6262 0.1783  6 O 2.02-2.15
Mg 0.0000 0.6013 0.5716  6 O 1.99-2.15
Mg 0.5000 0.8978 0.0650  6 O 2.03-2.16
Mg 0.0000 0.1262 0.8217  6 O 2.02-2.15
Mg 0.5000 0.3978 0.9350  6 O 2.03-2.16
Mg 0.0000 0.1013 0.4284  6 O 1.99-2.15

Summary:
Formation energy (no corrections): -38.6 eV per formula unit
Total DFT energy (no corrections): -7.7221 eV/atom
Space group: No. 26